First-principles (PBE) data for a geometry-optimized Cs3NaPb2Br9 structure, as listed in the Alexandria database.

## Properties
Its uncorrected formation energy is -125 kJ per mole of atoms. As for the total energy: -3.0484 eV per atom.

Cell: 8.2918 8.2918 10.1643 Å, 90.00 90.00 120.00°
Space group P-3m1 (No. 164)
One atom of each set of equivalent atoms:
Cs 0.0000 0.0000 0.0000 (multiplicity 1)
Cs 0.3333 0.6667 0.6536 (multiplicity 2)
Na 0.0000 0.0000 0.5000 (multiplicity 1)
Pb 0.3333 0.6667 0.1746 (multiplicity 2)
Br 0.0000 0.5000 0.0000 (multiplicity 3)
Br 0.1681 0.3362 0.3348 (multiplicity 6)